1.
RbZn2N2 | PBE | optimized geometry

DFT total energy, eV/atom: -3.6498
Crystal system: tetragonal
E_form (uncorrected), kJ/mol of atoms: 37.0
Polymorph energy (0 for the lowest one), eV per atom: 0.000
Mass density, g/cm³: 4.335

Structure (CIF):
```
data_RbZn2N2
_space_group_name_H-M_alt 'I 4/m m m'
_space_group_IT_number 139
_space_group_name_Hall '-I 4 2'
_cell_length_a 4.0657
_cell_length_b 4.0657
_cell_length_c 11.3239
_cell_angle_alpha 90.00
_cell_angle_beta 90.00
_cell_angle_gamma 90.00
loop_
_atom_site_label
_atom_site_fract_x
_atom_site_fract_y
_atom_site_fract_z
Rb1 0.0000 0.0000 0.0000
Zn1 0.0000 0.0000 0.2760
N1 0.0000 0.5000 0.2500
```



2.
RbZnN | PBE | optimized geometry

DFT total energy, eV/atom: -3.3874
Crystal system: orthorhombic
E_form (uncorrected), kJ/mol of atoms: 13.0
Mass density, g/cm³: 4.063

Structure (CIF):
```
data_RbZnN
_space_group_name_H-M_alt 'P n m a'
_space_group_IT_number 62
_cell_length_a 11.2582
_cell_length_b 3.5768
_cell_length_c 6.6934
_cell_angle_alpha 90.00
_cell_angle_beta 90.00
_cell_angle_gamma 90.00
loop_
_space_group_symop_operation_xyz
'x,y,z'
'-x,-y,-z'
'-x+1/2,-y,z+1/2'
'x+1/2,y,-z+1/2'
'x+1/2,-y+1/2,-z+1/2'
'-x+1/2,y+1/2,z+1/2'
'-x,y+1/2,-z'
'x,-y+1/2,z'
loop_
_atom_site_label
_atom_site_fract_x
_atom_site_fract_y
_atom_site_fract_z
Rb1 0.1570 0.2500 0.0553
Zn1 0.0547 0.2500 0.6062
N1 0.0794 0.7500 0.6956
```



3.
Rb2ZnN | PBE | optimized geometry

DFT total energy, eV/atom: -2.7091
Crystal system: tetragonal
E_form (uncorrected), kJ/mol of atoms: 16.8
Polymorph energy (0 for the lowest one), eV per atom: 0.000
Mass density, g/cm³: 2.818

Structure (CIF):
```
data_Rb2ZnN
_space_group_name_H-M_alt 'I -4 2 d'
_space_group_IT_number 122
_space_group_name_Hall 'I -4 2bw'
_cell_length_a 12.6493
_cell_length_b 12.6493
_cell_length_c 3.6885
_cell_angle_alpha 90.00
_cell_angle_beta 90.00
_cell_angle_gamma 90.00
loop_
_atom_site_label
_atom_site_fract_x
_atom_site_fract_y
_atom_site_fract_z
Rb1 0.0368 0.2500 0.1250
Zn1 0.0000 0.0000 0.5000
N1 0.0000 0.0000 0.0000
```